# PBE Th2Mn2Si2N, optimized geometry
# D(E_F): 11.2 states/eV per cell
# Volume: 16.85 Å³ per atom
# Total energy: -0.6088 Ry per atom
data_Th2Mn2Si2N
_symmetry_space_group_name_H-M 'C 1 2/m 1'
_symmetry_Int_Tables_number 12
_cell_length_a 10.919
_cell_length_b 4.016
_cell_length_c 6.989
_cell_angle_alpha 90.00
_cell_angle_beta 129.66
_cell_angle_gamma 90.00
loop_
_symmetry_equiv_pos_as_xyz
'x,y,z'
'-x,-y,-z'
'-x,y,-z'
'x,-y,z'
'x+1/2,y+1/2,z'
'-x+1/2,-y+1/2,-z'
'-x+1/2,y+1/2,-z'
'x+1/2,-y+1/2,z'
loop_
_atom_site_label
_atom_site_fract_x
_atom_site_fract_y
_atom_site_fract_z
Th1 0.057 0.000 0.321
Mn1 0.196 0.500 0.805
Si1 0.168 0.500 0.114
N1 0.000 0.500 0.500

=====

# PBE SrTl2Ir, optimized geometry
# Energy relative to the elements: 0.071 eV/atom
# D(E_F): 7.7 states/eV per cell
# Volume: 23.71 Å³ per atom
# Total energy: -0.2755 Ry per atom
data_SrTl2Ir
_symmetry_space_group_name_H-M 'F m -3 m'
_symmetry_Int_Tables_number 225
_symmetry_space_group_name_Hall '-F 4 2 3'
_cell_length_a 7.239
_cell_length_b 7.239
_cell_length_c 7.239
_cell_angle_alpha 90.00
_cell_angle_beta 90.00
_cell_angle_gamma 90.00
loop_
_atom_site_label
_atom_site_fract_x
_atom_site_fract_y
_atom_site_fract_z
Sr1 0.000 0.000 0.000
Tl1 0.250 0.250 0.250
Ir1 0.000 0.000 0.500

=====

# PBE NaTl3Tc, optimized geometry
# Excess energy over the best structure of this formula in the dataset: 0.0 meV/atom
# Energy relative to the elements: 0.281 eV/atom
# D(E_F): 2.7 states/eV per cell
# Volume: 30.62 Å³ per atom
# Total energy: -0.2555 Ry per atom
data_NaTl3Tc
_symmetry_space_group_name_H-M 'P m -3 m'
_symmetry_Int_Tables_number 221
_symmetry_space_group_name_Hall '-P 4 2 3'
_cell_length_a 5.349
_cell_length_b 5.349
_cell_length_c 5.349
_cell_angle_alpha 90.00
_cell_angle_beta 90.00
_cell_angle_gamma 90.00
loop_
_atom_site_label
_atom_site_fract_x
_atom_site_fract_y
_atom_site_fract_z
Na1 0.000 0.000 0.000
Tl1 0.000 0.500 0.500
Tc1 0.500 0.500 0.500

=====

# PBE Er3ThTc, optimized geometry
# Excess energy over the best structure of this formula in the dataset: 0.0 meV/atom
# Energy relative to the elements: -0.090 eV/atom
# D(E_F): 17.9 states/eV per cell
# Volume: 27.53 Å³ per atom
# Total energy: -0.4693 Ry per atom
data_Er3ThTc
_symmetry_space_group_name_H-M 'C 1 m 1'
_symmetry_Int_Tables_number 8
_cell_length_a 11.920
_cell_length_b 3.919
_cell_length_c 12.807
_cell_angle_alpha 90.00
_cell_angle_beta 113.04
_cell_angle_gamma 90.00
loop_
_symmetry_equiv_pos_as_xyz
'x,y,z'
'x,-y,z'
'x+1/2,y+1/2,z'
'x+1/2,-y+1/2,z'
loop_
_atom_site_label
_atom_site_fract_x
_atom_site_fract_y
_atom_site_fract_z
Er1 0.000 0.000 0.000
Er2 0.026 0.000 0.379
Er3 0.059 0.500 0.628
Er4 0.173 0.500 0.908
Er5 0.327 0.000 0.771
Er6 0.368 0.000 0.143
Th1 0.188 0.500 0.229
Th2 0.298 0.500 0.525
Tc1 0.342 0.000 0.388
Tc2 0.492 0.500 0.764

=====

# PBE Rb3TaAl, optimized geometry
# Excess energy over the best structure of this formula in the dataset: 0.0 meV/atom
# Energy relative to the elements: 1.664 eV/atom
# D(E_F): 8.8 states/eV per cell
# Volume: 61.23 Å³ per atom
# Total energy: -0.1496 Ry per atom
data_Rb3TaAl
_symmetry_space_group_name_H-M 'P m -3 m'
_symmetry_Int_Tables_number 221
_symmetry_space_group_name_Hall '-P 4 2 3'
_cell_length_a 6.740
_cell_length_b 6.740
_cell_length_c 6.740
_cell_angle_alpha 90.00
_cell_angle_beta 90.00
_cell_angle_gamma 90.00
loop_
_atom_site_label
_atom_site_fract_x
_atom_site_fract_y
_atom_site_fract_z
Rb1 0.000 0.000 0.500
Ta1 0.500 0.500 0.500
Al1 0.000 0.000 0.000

=====

# PBE Pm2AlNi6Ge, optimized geometry
# Energy relative to the elements: -0.358 eV/atom
# D(E_F): 8.3 states/eV per cell
# Volume: 16.55 Å³ per atom
# Total energy: -0.4125 Ry per atom
data_Pm2AlNi6Ge
_symmetry_space_group_name_H-M 'P -1'
_symmetry_Int_Tables_number 2
_cell_length_a 6.107
_cell_length_b 6.119
_cell_length_c 6.188
_cell_angle_alpha 60.81
_cell_angle_beta 60.75
_cell_angle_gamma 60.12
loop_
_symmetry_equiv_pos_as_xyz
'x,y,z'
'-x,-y,-z'
loop_
_atom_site_label
_atom_site_fract_x
_atom_site_fract_y
_atom_site_fract_z
Pm1 0.206 0.206 0.383
Al1 0.500 0.500 0.500
Ni1 0.170 0.324 0.880
Ni2 0.323 0.623 0.884
Ni3 0.377 0.831 0.117
Ge1 0.000 0.000 0.000